Below is a relaxed structure of NdLuRhPb, with properties calculated at the PBE level.

a = 7.336 Å, b = 7.336 Å, c = 7.336 Å
α = 90.00°, β = 90.00°, γ = 90.00°
Fractional positions:
Nd (0.000, 0.000, 0.000)
Nd (0.000, 0.500, 0.500)
Nd (0.500, 0.000, 0.500)
Nd (0.500, 0.500, 0.000)
Lu (0.000, 0.000, 0.500)
Lu (0.000, 0.500, 0.000)
Lu (0.500, 0.000, 0.000)
Lu (0.500, 0.500, 0.500)
Rh (0.250, 0.250, 0.250)
Rh (0.250, 0.750, 0.750)
Rh (0.750, 0.250, 0.750)
Rh (0.750, 0.750, 0.250)
Pb (0.250, 0.250, 0.750)
Pb (0.250, 0.750, 0.250)
Pb (0.750, 0.250, 0.250)
Pb (0.750, 0.750, 0.750)

DFT formation energy, eV per atom: -0.464
D(E_F), states/eV per atom: 0.87
Total energy, hartree per atom: -0.204
Magnetization, Bohr magnetons per cell: 0.001
SG: F-43m

***

Below is a relaxed structure of NdSmLuPb, with properties calculated at the PBE level.

a = 7.853 Å, b = 7.853 Å, c = 7.853 Å
α = 90.00°, β = 90.00°, γ = 90.00°
Fractional positions:
Nd (0.000, 0.000, 0.000)
Nd (0.000, 0.500, 0.500)
Nd (0.500, 0.000, 0.500)
Nd (0.500, 0.500, 0.000)
Sm (0.000, 0.000, 0.500)
Sm (0.000, 0.500, 0.000)
Sm (0.500, 0.000, 0.000)
Sm (0.500, 0.500, 0.500)
Lu (0.250, 0.250, 0.250)
Lu (0.250, 0.750, 0.750)
Lu (0.750, 0.250, 0.750)
Lu (0.750, 0.750, 0.250)
Pb (0.250, 0.250, 0.750)
Pb (0.250, 0.750, 0.250)
Pb (0.750, 0.250, 0.250)
Pb (0.750, 0.750, 0.750)

DFT formation energy, eV per atom: -0.143
D(E_F), states/eV per atom: 1.77
Total energy, hartree per atom: -0.168
Magnetization, Bohr magnetons per cell: 0.016
SG: F-43m

***

Below is a relaxed structure of NdTmLuPb, with properties calculated at the PBE level.

a = 7.768 Å, b = 7.768 Å, c = 7.768 Å
α = 90.00°, β = 90.00°, γ = 90.00°
Fractional positions:
Nd (0.000, 0.000, 0.000)
Nd (0.000, 0.500, 0.500)
Nd (0.500, 0.000, 0.500)
Nd (0.500, 0.500, 0.000)
Tm (0.000, 0.000, 0.500)
Tm (0.000, 0.500, 0.000)
Tm (0.500, 0.000, 0.000)
Tm (0.500, 0.500, 0.500)
Lu (0.250, 0.250, 0.750)
Lu (0.250, 0.750, 0.250)
Lu (0.750, 0.250, 0.250)
Lu (0.750, 0.750, 0.750)
Pb (0.250, 0.250, 0.250)
Pb (0.250, 0.750, 0.750)
Pb (0.750, 0.250, 0.750)
Pb (0.750, 0.750, 0.250)

DFT formation energy, eV per atom: -0.106
D(E_F), states/eV per atom: 1.73
Total energy, hartree per atom: -0.164
Magnetization, Bohr magnetons per cell: 0.000
SG: F-43m

***

Below is a relaxed structure of NdLuPd2, with properties calculated at the PBE level.

a = 4.186 Å, b = 4.186 Å, c = 19.312 Å
α = 90.00°, β = 90.00°, γ = 120.00°
Fractional positions:
Nd (0.000, 0.000, 0.000)
Nd (0.333, 0.667, 0.667)
Nd (0.667, 0.333, 0.333)
Lu (0.000, 0.000, 0.500)
Lu (0.333, 0.667, 0.167)
Lu (0.667, 0.333, 0.833)
Pd (0.000, 0.000, 0.241)
Pd (0.000, 0.000, 0.759)
Pd (0.333, 0.667, 0.426)
Pd (0.333, 0.667, 0.908)
Pd (0.667, 0.333, 0.092)
Pd (0.667, 0.333, 0.574)

DFT formation energy, eV per atom: -0.723
E above lowest polymorph, meV/atom: 119.8
D(E_F), states/eV per atom: 0.65
Total energy, hartree per atom: -0.207
Magnetization, Bohr magnetons per cell: 0.000
SG: R-3m

***

Below is a relaxed structure of NdLuPd2, with properties calculated at the PBE level.

a = 3.452 Å, b = 3.452 Å, c = 7.350 Å
α = 90.00°, β = 90.00°, γ = 90.00°
Fractional positions:
Nd (0.000, 0.000, 0.000)
Lu (0.000, 0.000, 0.500)
Pd (0.500, 0.500, 0.279)
Pd (0.500, 0.500, 0.721)

DFT formation energy, eV per atom: -0.843
E above lowest polymorph, meV/atom: 0.0
D(E_F), states/eV per atom: 0.80
Total energy, hartree per atom: -0.212
Magnetization, Bohr magnetons per cell: 0.001
SG: P4/mmm

***

Below is a relaxed structure of NdLuPd2, with properties calculated at the PBE level.

a = 7.080 Å, b = 7.080 Å, c = 7.080 Å
α = 90.00°, β = 90.00°, γ = 90.00°
Fractional positions:
Nd (0.000, 0.000, 0.000)
Nd (0.000, 0.500, 0.500)
Nd (0.500, 0.000, 0.500)
Nd (0.500, 0.500, 0.000)
Lu (0.000, 0.000, 0.500)
Lu (0.000, 0.500, 0.000)
Lu (0.500, 0.000, 0.000)
Lu (0.500, 0.500, 0.500)
Pd (0.250, 0.250, 0.250)
Pd (0.250, 0.250, 0.750)
Pd (0.250, 0.750, 0.250)
Pd (0.250, 0.750, 0.750)
Pd (0.750, 0.250, 0.250)
Pd (0.750, 0.250, 0.750)
Pd (0.750, 0.750, 0.250)
Pd (0.750, 0.750, 0.750)

DFT formation energy, eV per atom: -0.811
E above lowest polymorph, meV/atom: 31.7
D(E_F), states/eV per atom: 0.91
Total energy, hartree per atom: -0.211
Magnetization, Bohr magnetons per cell: 0.072
SG: Fm-3m

***

Below is a relaxed structure of NdLuPd4, with properties calculated at the PBE level.

a = 5.464 Å, b = 5.464 Å, c = 5.464 Å
α = 60.00°, β = 60.00°, γ = 60.00°
Fractional positions:
Nd (0.000, 0.000, 0.000)
Lu (0.250, 0.250, 0.250)
Pd (0.127, 0.624, 0.624)
Pd (0.624, 0.127, 0.624)
Pd (0.624, 0.624, 0.127)
Pd (0.624, 0.624, 0.624)

DFT formation energy, eV per atom: -0.793
D(E_F), states/eV per atom: 0.38
Total energy, hartree per atom: -0.213
Magnetization, Bohr magnetons per cell: 0.000
SG: F-43m

***

Below is a relaxed structure of NdLu2Pd, with properties calculated at the PBE level.

a = 3.509 Å, b = 3.509 Å, c = 8.539 Å
α = 90.00°, β = 90.00°, γ = 90.00°
Fractional positions:
Nd (0.000, 0.000, 0.000)
Lu (0.500, 0.500, 0.308)
Lu (0.500, 0.500, 0.692)
Pd (0.000, 0.000, 0.500)

DFT formation energy, eV per atom: -0.462
D(E_F), states/eV per atom: 0.98
Total energy, hartree per atom: -0.192
Magnetization, Bohr magnetons per cell: 0.001
SG: P4/mmm

***

Below is a relaxed structure of NdLuPdRh, with properties calculated at the PBE level.

a = 6.988 Å, b = 6.988 Å, c = 6.988 Å
α = 90.00°, β = 90.00°, γ = 90.00°
Fractional positions:
Nd (0.000, 0.000, 0.000)
Nd (0.000, 0.500, 0.500)
Nd (0.500, 0.000, 0.500)
Nd (0.500, 0.500, 0.000)
Lu (0.000, 0.000, 0.500)
Lu (0.000, 0.500, 0.000)
Lu (0.500, 0.000, 0.000)
Lu (0.500, 0.500, 0.500)
Pd (0.250, 0.250, 0.250)
Pd (0.250, 0.750, 0.750)
Pd (0.750, 0.250, 0.750)
Pd (0.750, 0.750, 0.250)
Rh (0.250, 0.250, 0.750)
Rh (0.250, 0.750, 0.250)
Rh (0.750, 0.250, 0.250)
Rh (0.750, 0.750, 0.750)

DFT formation energy, eV per atom: -0.811
D(E_F), states/eV per atom: 0.50
Total energy, hartree per atom: -0.230
Magnetization, Bohr magnetons per cell: 0.000
SG: F-43m

***

Below is a relaxed structure of NdLuPdRu, with properties calculated at the PBE level.

a = 6.949 Å, b = 6.949 Å, c = 6.949 Å
α = 90.00°, β = 90.00°, γ = 90.00°
Fractional positions:
Nd (0.000, 0.000, 0.000)
Nd (0.000, 0.500, 0.500)
Nd (0.500, 0.000, 0.500)
Nd (0.500, 0.500, 0.000)
Lu (0.000, 0.000, 0.500)
Lu (0.000, 0.500, 0.000)
Lu (0.500, 0.000, 0.000)
Lu (0.500, 0.500, 0.500)
Pd (0.250, 0.250, 0.250)
Pd (0.250, 0.750, 0.750)
Pd (0.750, 0.250, 0.750)
Pd (0.750, 0.750, 0.250)
Ru (0.250, 0.250, 0.750)
Ru (0.250, 0.750, 0.250)
Ru (0.750, 0.250, 0.250)
Ru (0.750, 0.750, 0.750)

DFT formation energy, eV per atom: -0.564
D(E_F), states/eV per atom: 0.57
Total energy, hartree per atom: -0.239
Magnetization, Bohr magnetons per cell: 0.000
SG: F-43m

***

Below is a relaxed structure of NdLuSiPd, with properties calculated at the PBE level.

a = 7.100 Å, b = 7.100 Å, c = 7.100 Å
α = 90.00°, β = 90.00°, γ = 90.00°
Fractional positions:
Nd (0.000, 0.000, 0.000)
Nd (0.000, 0.500, 0.500)
Nd (0.500, 0.000, 0.500)
Nd (0.500, 0.500, 0.000)
Lu (0.000, 0.000, 0.500)
Lu (0.000, 0.500, 0.000)
Lu (0.500, 0.000, 0.000)
Lu (0.500, 0.500, 0.500)
Si (0.250, 0.250, 0.250)
Si (0.250, 0.750, 0.750)
Si (0.750, 0.250, 0.750)
Si (0.750, 0.750, 0.250)
Pd (0.250, 0.250, 0.750)
Pd (0.250, 0.750, 0.250)
Pd (0.750, 0.250, 0.250)
Pd (0.750, 0.750, 0.750)

D(E_F), states/eV per atom: 0.47
Total energy, hartree per atom: -0.207
Magnetization, Bohr magnetons per cell: 0.002
SG: F-43m

***

Below is a relaxed structure of NdLuSnPd, with properties calculated at the PBE level.

a = 7.353 Å, b = 7.353 Å, c = 7.353 Å
α = 90.00°, β = 90.00°, γ = 90.00°
Fractional positions:
Nd (0.000, 0.000, 0.000)
Nd (0.000, 0.500, 0.500)
Nd (0.500, 0.000, 0.500)
Nd (0.500, 0.500, 0.000)
Lu (0.000, 0.000, 0.500)
Lu (0.000, 0.500, 0.000)
Lu (0.500, 0.000, 0.000)
Lu (0.500, 0.500, 0.500)
Sn (0.250, 0.250, 0.250)
Sn (0.250, 0.750, 0.750)
Sn (0.750, 0.250, 0.750)
Sn (0.750, 0.750, 0.250)
Pd (0.250, 0.250, 0.750)
Pd (0.250, 0.750, 0.250)
Pd (0.750, 0.250, 0.250)
Pd (0.750, 0.750, 0.750)

DFT formation energy, eV per atom: -0.693
D(E_F), states/eV per atom: 0.62
Total energy, hartree per atom: -0.195
Magnetization, Bohr magnetons per cell: 0.037
SG: F-43m